DFT (GGA-PBEsol) results for a relaxed structure of CsTcAsSe2.

Output
Excess energy over the best structure of this formula in the dataset   0 meV per atom
Crystal system   tetragonal
ΔE_f (raw)   -0.091 eV/atom
V   24.70 A^3/atom

Cell lengths 5.0985, 5.0985, 4.7519 Å; angles 90.00, 90.00, 90.00 degrees
With the nearest neighbours (Å) after each atom.
Space group P4/mmm (No. 123)
Asymmetric unit:
1 Cs 0.0000 0.0000 0.0000 (multiplicity 1)  8 Se 3.48, 4 As 3.61
2 Tc 0.5000 0.5000 0.5000 (multiplicity 1)  2 As 2.38, 4 Se 2.55
3 As 0.5000 0.5000 0.0000 (multiplicity 1)  2 Tc 2.38
4 Se 0.0000 0.5000 0.5000 (multiplicity 2)  2 Tc 2.55

=====

DFT (GGA-PBEsol) results for a relaxed structure of CsTlAs2Se.

Output
Crystal system   tetragonal
ΔE_f (raw)   1.241 eV/atom
V   38.26 A^3/atom

Cell lengths 5.7720, 5.7720, 5.7425 Å; angles 90.00, 90.00, 90.00 degrees
With the nearest neighbours (Å) after each atom.
Space group P4/mmm (No. 123)
Asymmetric unit:
1 Cs 0.0000 0.0000 0.0000 (multiplicity 1)  2 Se 2.87, 4 As 2.89
2 Tl 0.5000 0.5000 0.5000 (multiplicity 1)  8 As 4.07, 4 Se 4.08
3 As 0.0000 0.5000 0.0000 (multiplicity 2)  2 Cs 2.89
4 Se 0.0000 0.0000 0.5000 (multiplicity 1)  2 Cs 2.87

=====

DFT (GGA-PBEsol) results for a relaxed structure of CsTlAsSe2.

Output
Crystal system   tetragonal
ΔE_f (raw)   0.971 eV/atom
V   38.82 A^3/atom

Cell lengths 5.7716, 5.7716, 5.8273 Å; angles 90.00, 90.00, 90.00 degrees
With the nearest neighbours (Å) after each atom.
Space group P4/mmm (No. 123)
Asymmetric unit:
1 Cs 0.0000 0.0000 0.0000 (multiplicity 1)  4 Se 2.89, 2 As 2.91
2 Tl 0.5000 0.5000 0.5000 (multiplicity 1)  4 As 4.08, 8 Se 4.10
3 As 0.0000 0.0000 0.5000 (multiplicity 1)  2 Cs 2.91
4 Se 0.0000 0.5000 0.0000 (multiplicity 2)  2 Cs 2.89

=====

DFT (GGA-PBEsol) results for a relaxed structure of Cs2SiAs2.

Output
Excess energy over the best structure of this formula in the dataset   0 meV per atom
Crystal system   orthorhombic
ΔE_f (raw)   -0.483 eV/atom
V   34.76 A^3/atom

Cell lengths 7.5310, 14.3990, 6.4106 Å; angles 90.00, 90.00, 90.00 degrees
With the nearest neighbours (Å) after each atom.
Space group Ibam (No. 72)
Asymmetric unit:
1 Cs 0.1676 0.1449 0.0000 (multiplicity 8)  6 As 3.55-3.93, 2 Si 3.63
2 Si 0.0000 0.5000 0.2500 (multiplicity 4)  4 As 2.39
3 As 0.1559 0.4071 0.0000 (multiplicity 8)  2 Si 2.39

=====

DFT (GGA-PBEsol) results for a relaxed structure of Cs2SiAs2.

Output
Excess energy over the best structure of this formula in the dataset   410 meV per atom
Crystal system   tetragonal
ΔE_f (raw)   -0.073 eV/atom
V   28.77 A^3/atom

Cell lengths 6.9501, 6.9501, 5.9560 Å; angles 90.00, 90.00, 90.00 degrees
With the nearest neighbours (Å) after each atom.
Space group P4/mbm (No. 127)
Asymmetric unit:
1 Cs 0.1832 0.3168 0.0000 (multiplicity 4)  6 As 3.52-3.69, 5 Cs 3.60, 4 Si 3.92
2 Si 0.0000 0.0000 0.5000 (multiplicity 2)  4 As 2.74
3 As 0.1261 0.6261 0.5000 (multiplicity 4)  1 As 2.48, 2 Si 2.74

=====

DFT (GGA-PBEsol) results for a relaxed structure of Cs2SnAs2.

Output
Crystal system   orthorhombic
V   38.81 A^3/atom
Formation energy   -0.442 eV/atom

Cell lengths 7.6689, 14.6132, 6.9260 Å; angles 90.00, 90.00, 90.00 degrees
With the nearest neighbours (Å) after each atom.
Space group Ibam (No. 72)
Asymmetric unit:
1 Cs 0.1630 0.1456 0.0000 (multiplicity 8)  6 As 3.71-3.99, 2 Sn 3.77
2 Sn 0.0000 0.5000 0.2500 (multiplicity 4)  4 As 2.64
3 As 0.1763 0.3996 0.0000 (multiplicity 8)  2 Sn 2.64

=====

DFT (GGA-PBEsol) results for a relaxed structure of CsTaAs3.

Output
Crystal system   cubic
V   29.61 A^3/atom
Formation energy   2.488 eV/atom

Cell lengths 5.2904, 5.2904, 5.2904 Å; angles 90.00, 90.00, 90.00 degrees
With the nearest neighbours (Å) after each atom.
Space group Pm-3m (No. 221)
Asymmetric unit:
1 Cs 0.0000 0.0000 0.0000 (multiplicity 1)  6 As 2.65
2 Ta 0.5000 0.5000 0.5000 (multiplicity 1)  12 As 3.74
3 As 0.0000 0.0000 0.5000 (multiplicity 3)  2 Cs 2.65

=====

DFT (GGA-PBEsol) results for a relaxed structure of Cs2Te3As.

Output
Crystal system   monoclinic
ΔE_f (raw)   -0.601 eV/atom
V   40.94 A^3/atom

Cell lengths 10.6855, 9.2990, 11.3002 Å; angles 90.00, 118.95, 90.00 degrees
With the nearest neighbours (Å) after each atom.
Space group P2_1/c (No. 14)
Asymmetric unit:
1 Cs 0.2340 0.1054 0.0306 (multiplicity 4)  8 Te 3.82-4.20, 1 As 4.10, 1 Cs 4.23
2 Cs 0.2423 0.5910 0.1967 (multiplicity 4)  6 Te 3.75-4.01, 1 As 3.79
3 Te 0.0223 0.7280 0.8295 (multiplicity 4)  1 Te 2.80
4 Te 0.1916 0.0094 0.3456 (multiplicity 4)  1 As 2.75, 1 Te 2.80
5 Te 0.4993 0.2159 0.8878 (multiplicity 4)  1 As 2.58
6 As 0.4587 0.6023 0.9241 (multiplicity 4)  1 As 2.42, 1 Te 2.58

=====

DFT (GGA-PBEsol) results for a relaxed structure of Cs2TeAs.

Output
Crystal system   cubic
ΔE_f (raw)   -0.145 eV/atom
V   42.12 A^3/atom

Cell lengths 8.7675, 8.7675, 8.7675 Å; angles 90.00, 90.00, 90.00 degrees
With the nearest neighbours (Å) after each atom.
Space group Fm-3m (No. 225)
Asymmetric unit:
1 Cs 0.2500 0.2500 0.2500 (multiplicity 8)  4 As 3.80, 4 Te 3.80
2 Te 0.0000 0.0000 0.0000 (multiplicity 4)  8 Cs 3.80
3 As 0.0000 0.0000 0.5000 (multiplicity 4)  8 Cs 3.80

=====

DFT (GGA-PBEsol) results for a relaxed structure of CsTi3As.

Output
Crystal system   cubic
V   23.29 A^3/atom
Formation energy   0.685 eV/atom

Cell lengths 4.8834, 4.8834, 4.8834 Å; angles 90.00, 90.00, 90.00 degrees
With the nearest neighbours (Å) after each atom.
Space group Pm-3m (No. 221)
Asymmetric unit:
1 Cs 0.0000 0.0000 0.0000 (multiplicity 1)  12 Ti 3.45
2 Ti 0.0000 0.5000 0.5000 (multiplicity 3)  2 As 2.44
3 As 0.5000 0.5000 0.5000 (multiplicity 1)  6 Ti 2.44

=====

DFT (GGA-PBEsol) results for a relaxed structure of CsTiAs3.

Output
Crystal system   cubic
V   24.82 A^3/atom
Formation energy   -0.239 eV/atom

Cell lengths 4.9883, 4.9883, 4.9883 Å; angles 90.00, 90.00, 90.00 degrees
With the nearest neighbours (Å) after each atom.
Space group Pm-3m (No. 221)
Asymmetric unit:
1 Cs 0.0000 0.0000 0.0000 (multiplicity 1)  12 As 3.53
2 Ti 0.5000 0.5000 0.5000 (multiplicity 1)  6 As 2.49
3 As 0.0000 0.5000 0.5000 (multiplicity 3)  2 Ti 2.49

=====

DFT (GGA-PBEsol) results for a relaxed structure of CsTi2As2.

Output
Crystal system   tetragonal
V   26.87 A^3/atom
Formation energy   -0.667 eV/atom

Cell lengths 4.2598, 4.2598, 14.8064 Å; angles 90.00, 90.00, 90.00 degrees
With the nearest neighbours (Å) after each atom.
Space group I4/mmm (No. 139)
Asymmetric unit:
1 Cs 0.0000 0.0000 0.0000 (multiplicity 2)  8 As 3.82, 4 Cs 4.26, 8 Ti 4.27
2 Ti 0.0000 0.5000 0.2500 (multiplicity 4)  4 As 2.52
3 As 0.0000 0.0000 0.3412 (multiplicity 4)  4 Ti 2.52

=====

DFT (GGA-PBEsol) results for a relaxed structure of CsTlAs3.

Output
Crystal system   cubic
V   31.76 A^3/atom
Formation energy   0.583 eV/atom

Cell lengths 5.4152, 5.4152, 5.4152 Å; angles 90.00, 90.00, 90.00 degrees
With the nearest neighbours (Å) after each atom.
Space group Pm-3m (No. 221)
Asymmetric unit:
1 Cs 0.0000 0.0000 0.0000 (multiplicity 1)  12 As 3.83
2 Tl 0.5000 0.5000 0.5000 (multiplicity 1)  6 As 2.71
3 As 0.0000 0.5000 0.5000 (multiplicity 3)  2 Tl 2.71

=====

DFT (GGA-PBEsol) results for a relaxed structure of CsTl2As2.

Output
Excess energy over the best structure of this formula in the dataset   110 meV per atom
Crystal system   tetragonal
V   29.17 A^3/atom
Formation energy   -0.080 eV/atom

Cell lengths 5.1652, 5.1652, 10.9320 Å; angles 90.00, 90.00, 90.00 degrees
With the nearest neighbours (Å) after each atom.
Space group I4/mmm (No. 139)
Asymmetric unit:
1 Cs 0.0000 0.0000 0.0000 (multiplicity 2)  8 As 3.76, 10 Tl 3.94-3.99
2 Tl 0.0000 0.0000 0.3648 (multiplicity 4)  4 As 2.87, 1 Tl 2.96
3 As 0.0000 0.5000 0.2500 (multiplicity 4)  4 Tl 2.87

=====

DFT (GGA-PBEsol) results for a relaxed structure of CsTl3As.

Output
Crystal system   cubic
V   46.46 A^3/atom
Formation energy   1.186 eV/atom

Cell lengths 6.1471, 6.1471, 6.1471 Å; angles 90.00, 90.00, 90.00 degrees
With the nearest neighbours (Å) after each atom.
Space group Pm-3m (No. 221)
Asymmetric unit:
1 Cs 0.0000 0.0000 0.0000 (multiplicity 1)  6 Tl 3.07
2 Tl 0.0000 0.0000 0.5000 (multiplicity 3)  2 Cs 3.07
3 As 0.5000 0.5000 0.5000 (multiplicity 1)  12 Tl 4.35

=====

DFT (GGA-PBEsol) results for a relaxed structure of CsTl2As2.

Output
Excess energy over the best structure of this formula in the dataset   0 meV per atom
Crystal system   tetragonal
V   30.39 A^3/atom
Formation energy   -0.190 eV/atom

Cell lengths 5.0972, 5.0972, 11.6969 Å; angles 90.00, 90.00, 90.00 degrees
With the nearest neighbours (Å) after each atom.
Space group I4/mmm (No. 139)
Asymmetric unit:
1 Cs 0.0000 0.0000 0.0000 (multiplicity 2)  8 As 3.81, 8 Tl 3.88
2 Tl 0.0000 0.5000 0.2500 (multiplicity 4)  4 As 3.06
3 As 0.0000 0.0000 0.3948 (multiplicity 4)  1 As 2.46

=====

DFT (GGA-PBEsol) results for a relaxed structure of CsAsW3.

Output
Crystal system   cubic
V   23.21 A^3/atom
Formation energy   4.039 eV/atom

Cell lengths 4.8777, 4.8777, 4.8777 Å; angles 90.00, 90.00, 90.00 degrees
With the nearest neighbours (Å) after each atom.
Space group Pm-3m (No. 221)
Asymmetric unit:
1 Cs 0.0000 0.0000 0.0000 (multiplicity 1)  6 W 2.44
2 As 0.5000 0.5000 0.5000 (multiplicity 1)  12 W 3.45
3 W 0.0000 0.0000 0.5000 (multiplicity 3)  2 Cs 2.44

=====

DFT (GGA-PBEsol) results for a relaxed structure of CsZn4As3.

Output
Crystal system   tetragonal
V   22.48 A^3/atom
Formation energy   -0.280 eV/atom

Cell lengths 4.1401, 4.1401, 10.4908 Å; angles 90.00, 90.00, 90.00 degrees
With the nearest neighbours (Å) after each atom.
Space group P4/mmm (No. 123)
Asymmetric unit:
1 Cs 0.0000 0.0000 0.0000 (multiplicity 1)  8 As 3.69
2 Zn 0.0000 0.5000 0.3455 (multiplicity 4)  4 As 2.49-2.63
3 As 0.0000 0.0000 0.5000 (multiplicity 1)  8 Zn 2.63
4 As 0.5000 0.5000 0.2141 (multiplicity 2)  4 Zn 2.49

=====

DFT (GGA-PBEsol) results for a relaxed structure of CuAs2.

Output
Crystal system   tetragonal
V   17.67 A^3/atom
Formation energy   0.209 eV/atom

Cell lengths 3.8447, 3.8447, 3.5870 Å; angles 90.00, 90.00, 90.00 degrees
With the nearest neighbours (Å) after each atom.
Space group P4/mmm (No. 123)
Asymmetric unit:
1 Cu 0.0000 0.0000 0.0000 (multiplicity 1)  8 As 2.63
2 As 0.0000 0.5000 0.5000 (multiplicity 2)  4 Cu 2.63, 4 As 2.72

=====

DFT (GGA-PBEsol) results for a relaxed structure of Cu4As.

Output
Excess energy over the best structure of this formula in the dataset   54 meV per atom
Crystal system   cubic
V   12.50 A^3/atom
Formation energy   0.086 eV/atom

Cell lengths 6.2993, 6.2993, 6.2993 Å; angles 90.00, 90.00, 90.00 degrees
With the nearest neighbours (Å) after each atom.
Space group P2_13 (No. 198)
Asymmetric unit:
1 Cu 0.0430 0.1172 0.7969 (multiplicity 12)  3 As 2.53-2.70, 9 Cu 2.53-2.73
2 Cu 0.1903 0.1903 0.1903 (multiplicity 4)  3 As 2.37, 6 Cu 2.53-2.65
3 As 0.0617 0.9383 0.4383 (multiplicity 4)  6 Cu 2.37-2.53